First-principles (PBE) data for an optimized crystal structure of Sm4Ru2Au, as listed in the Alexandria database.

## Properties
V = 351 Å³/cell
raw total energy = -6.174 eV/atom
symmetry = No. 1
ΔE_f = -35 kJ/mol of atoms
size of the total moment = 0.00 Bohr magnetons per cell

Cell lengths 7.679, 7.689, 7.705 Å; angles 108.84, 110.24, 109.17 degrees
Sites, in units of the cell vectors:
Sm: 0.000 0.000 0.000
Sm: 0.026 0.483 0.965
Sm: 0.161 0.867 0.484
Sm: 0.403 0.753 0.864
Sm: 0.484 0.273 0.041
Sm: 0.531 0.345 0.585
Sm: 0.643 0.806 0.449
Sm: 0.875 0.249 0.408
Ru: 0.079 0.160 0.724
Ru: 0.376 0.958 0.225
Ru: 0.636 0.087 0.787
Ru: 0.943 0.654 0.662
Au: 0.240 0.476 0.368
Au: 0.751 0.678 0.081